No. 1
Rb2YAsS4 | PBE | relaxed

Results
As for the mass density: 2.62 g/cm3. Its uncorrected formation energy is -1.0003 eV/atom.

a = 14.1637 Å, b = 12.6275 Å, c = 7.9630 Å
α = 83.65°, β = 62.38°, γ = 33.97°
Closest atoms and distances in Å follow each position.
Fractional positions:
Rb1 0.0584 0.0584 0.6916  6 S 3.61-3.95
Rb2 0.3084 0.3084 0.9416  6 S 3.61-3.95
Rb3 0.6916 0.6916 0.0584  6 S 3.61-3.95
Rb4 0.9416 0.9416 0.3084  6 S 3.61-3.95
Y1 0.1250 0.1250 0.1250  4 S 2.57
Y2 0.8750 0.8750 0.8750  4 S 2.57
As1 0.3750 0.3750 0.3750  4 S 2.49
As2 0.6250 0.6250 0.6250  4 S 2.49
S1 0.0154 0.3375 0.4326  1 As 2.49, 1 Y 2.57
S2 0.2855 0.5674 0.6625  1 As 2.49, 1 Y 2.57
S3 0.3375 0.0154 0.7145  1 As 2.49, 1 Y 2.57
S4 0.4326 0.7145 0.0154  1 As 2.49, 1 Y 2.57
S5 0.5674 0.2855 0.9846  1 As 2.49, 1 Y 2.57
S6 0.6625 0.9846 0.2855  1 As 2.49, 1 Y 2.57
S7 0.7145 0.4326 0.3375  1 As 2.49, 1 Y 2.57
S8 0.9846 0.6625 0.5674  1 As 2.49, 1 Y 2.57



No. 2
Rb2ZrAs2S6 | PBE | relaxed

Results
As for the mass density: 3.28 g/cm3. Its uncorrected formation energy is -0.7918 eV/atom.

a = 6.5080 Å, b = 6.5080 Å, c = 8.4062 Å
α = 106.15°, β = 106.15°, γ = 65.79°
Closest atoms and distances in Å follow each position.
Fractional positions:
Rb1 0.1903 0.1903 0.1234  7 S 3.28-3.53
Rb2 0.8097 0.8097 0.8766  7 S 3.28-3.53
Zr1 0.0000 0.0000 0.5000  6 S 2.55-2.63
As1 0.4099 0.4099 0.7673  3 S 2.23-2.31
As2 0.5901 0.5901 0.2327  3 S 2.23-2.31
S1 0.2110 0.7162 0.2557  1 As 2.31
S2 0.2400 0.2400 0.5303  1 As 2.23
S3 0.2838 0.7890 0.7443  1 As 2.31
S4 0.7162 0.2110 0.2557  1 As 2.31
S5 0.7600 0.7600 0.4697  1 As 2.23
S6 0.7890 0.2838 0.7443  1 As 2.31



No. 3
RbZrAs2S8 | PBE | relaxed

Results
As for the mass density: 3.07 g/cm3. Its uncorrected formation energy is -0.4137 eV/atom.

a = 6.2844 Å, b = 6.2844 Å, c = 9.2343 Å
α = 90.00°, β = 90.00°, γ = 120.00°
Closest atoms and distances in Å follow each position.
Fractional positions:
Rb1 0.0000 0.0000 0.0000  12 S 3.65-3.77
Zr1 0.0000 0.0000 0.5000  6 S 2.58
As1 0.3333 0.6667 0.7249  4 S 2.16-2.22
As2 0.6667 0.3333 0.2751  4 S 2.16-2.22
S1 0.0113 0.6709 0.3383  1 As 2.22
S2 0.3291 0.3404 0.3383  1 As 2.22
S3 0.3333 0.6667 0.9590  1 As 2.16
S4 0.3404 0.0113 0.6617  1 As 2.22
S5 0.6596 0.9887 0.3383  1 As 2.22
S6 0.6667 0.3333 0.0410  1 As 2.16
S7 0.6709 0.6596 0.6617  1 As 2.22
S8 0.9887 0.3291 0.6617  1 As 2.22



No. 4
Rb2ZrAsS5 | PBE | relaxed

Results
As for the mass density: 3.01 g/cm3. Its uncorrected formation energy is -0.9844 eV/atom.

a = 9.8319 Å, b = 9.8319 Å, c = 13.8780 Å
α = 90.00°, β = 90.00°, γ = 155.89°
Closest atoms and distances in Å follow each position.
Fractional positions:
Rb1 0.1258 0.8742 0.5000  6 S 3.34-3.49
Rb2 0.1315 0.8685 0.8556  5 S 3.35-3.47
Rb3 0.8685 0.1315 0.3556  5 S 3.35-3.47
Rb4 0.8742 0.1258 0.0000  6 S 3.34-3.49
Zr1 0.2030 0.7970 0.2075  3 S 2.34-2.57
Zr2 0.7970 0.2030 0.7075  3 S 2.34-2.57
As1 0.4346 0.5654 0.5990  4 S 2.15-2.36
As2 0.5654 0.4346 0.0990  4 S 2.15-2.36
S1 0.0544 0.9456 0.1810  2 As 2.36
S2 0.3099 0.6901 0.8175  2 Zr 2.57
S3 0.3179 0.6821 0.5708  1 As 2.28
S4 0.3225 0.6775 0.1760  1 Zr 2.34
S5 0.4878 0.5122 0.4629  1 As 2.15
S6 0.5122 0.4878 0.9629  1 As 2.15
S7 0.6775 0.3225 0.6760  1 Zr 2.34
S8 0.6821 0.3179 0.0708  1 As 2.28
S9 0.6901 0.3099 0.3175  2 Zr 2.57
S10 0.9456 0.0544 0.6810  2 As 2.36